This record from Alexandria describes a geometry-optimized SrNi2AsH structure. The functional is PBE-GGA.

## Properties
Total moment ... 0.0 μB/f.u.
Calculated total energy ... -4.768 eV/atom

Cell: 5.769 5.769 6.884 Å, 90.00 90.00 140.68°
Fractional positions:
Sr: 0.050 0.950 0.750
Sr: 0.950 0.050 0.250
Ni: 0.329 0.671 0.560
Ni: 0.329 0.671 0.940
Ni: 0.671 0.329 0.060
Ni: 0.671 0.329 0.440
As: 0.229 0.771 0.250
As: 0.771 0.229 0.750
H: 0.500 0.500 0.000
H: 0.500 0.500 0.500

***

This record from Alexandria describes a geometry-optimized SrZrMoN2 structure. The functional is PBE-GGA.

## Properties
Total moment ... 5.6 μB/f.u.
Calculated total energy ... -6.593 eV/atom
Formation energy without anion corrections ... 0.949 eV per atom

Cell: 4.446 4.446 5.278 Å, 90.00 90.00 90.00°
Fractional positions:
Sr: 0.000 0.000 0.000
Zr: 0.500 0.500 0.500
Mo: 0.500 0.500 0.000
N: 0.000 0.500 0.500
N: 0.500 0.000 0.500

***

This record from Alexandria describes a geometry-optimized Ga2Sb2S structure. The functional is PBE-GGA.

## Properties
Total moment ... 0.0 μB/f.u.
Calculated total energy ... -3.477 eV/atom
Formation energy without anion corrections ... 0.208 eV per atom

Cell: 7.260 7.260 4.625 Å, 90.00 90.00 90.00°
Fractional positions:
Ga: 0.192 0.308 0.000
Ga: 0.308 0.808 0.000
Ga: 0.692 0.192 0.000
Ga: 0.808 0.692 0.000
Sb: 0.134 0.634 0.500
Sb: 0.366 0.134 0.500
Sb: 0.634 0.866 0.500
Sb: 0.866 0.366 0.500
S: 0.000 0.000 0.000
S: 0.500 0.500 0.000

***

This record from Alexandria describes a geometry-optimized GdCuAgPt structure. The functional is PBE-GGA.

## Properties
Total moment ... 7.1 μB/f.u.
Calculated total energy ... -7.194 eV/atom
Formation energy from the elements ... -164.9 kJ/mol of formula units

Cell: 4.756 4.756 4.756 Å, 60.00 60.00 60.00°
Fractional positions:
Gd: 0.000 0.000 0.000
Cu: 0.750 0.750 0.750
Ag: 0.500 0.500 0.500
Pt: 0.250 0.250 0.250

***

This record from Alexandria describes a geometry-optimized TmInAu4 structure. The functional is PBE-GGA.

## Properties
Offset from the most stable computed form ... 70 meV per atom
Total moment ... 0.0 μB/f.u.
Calculated total energy ... -3.841 eV/atom
Formation energy from the elements ... -262.9 kJ/mol of formula units

Cell: 4.472 4.472 6.879 Å, 98.98 98.98 68.33°
Fractional positions:
Tm: 0.000 0.000 0.000
In: 0.000 0.000 0.500
Au: 0.331 0.331 0.319
Au: 0.332 0.332 0.819
Au: 0.668 0.668 0.181
Au: 0.669 0.669 0.681

***

This record from Alexandria describes a geometry-optimized LiPrLu structure. The functional is PBE-GGA.

## Properties
Offset from the most stable computed form ... 0 meV per atom
Total moment ... 0.0 μB/f.u.
Calculated total energy ... -3.654 eV/atom
Formation energy from the elements ... 24.4 kJ/mol of formula units

Cell: 6.672 6.672 6.672 Å, 147.71 147.71 46.32°
Fractional positions:
Li: 0.000 0.000 0.000
Pr: 0.664 0.664 0.000
Lu: 0.358 0.358 0.000

***

This record from Alexandria describes a geometry-optimized NaCa2CeTe4 structure. The functional is PBE-GGA.

## Properties
Total moment ... 1.0 μB/f.u.
Calculated total energy ... -4.407 eV/atom
Formation energy without anion corrections ... -1.429 eV per atom

Cell: 7.840 4.551 7.844 Å, 90.00 108.73 90.00°
Fractional positions:
Na: 0.000 0.000 0.000
Ca: 0.500 0.000 0.500
Ca: 0.500 0.500 0.000
Ce: 0.000 0.500 0.500
Te: 0.250 0.000 0.749
Te: 0.254 0.500 0.257
Te: 0.746 0.500 0.743
Te: 0.750 0.000 0.251

***

This record from Alexandria describes a geometry-optimized Cd3RhSe structure. The functional is PBE-GGA.

## Properties
Offset from the most stable computed form ... 537 meV per atom
Total moment ... 0.0 μB/f.u.
Calculated total energy ... -1.852 eV/atom
Formation energy without anion corrections ... 0.864 eV per atom

Cell: 5.166 5.166 5.166 Å, 90.00 90.00 90.00°
Fractional positions:
Cd: 0.000 0.000 0.500
Cd: 0.000 0.500 0.000
Cd: 0.500 0.000 0.000
Rh: 0.500 0.500 0.500
Se: 0.000 0.000 0.000

***

This record from Alexandria describes a geometry-optimized HfZnOs2I structure. The functional is PBE-GGA.

## Properties
Total moment ... 0.3 μB/f.u.
Calculated total energy ... -4.995 eV/atom
Formation energy without anion corrections ... 2.053 eV per atom

Cell: 4.847 4.847 4.777 Å, 90.00 90.00 90.00°
Fractional positions:
Hf: 0.000 0.000 0.000
Zn: 0.500 0.500 0.000
Os: 0.000 0.500 0.500
Os: 0.500 0.000 0.500
I: 0.500 0.500 0.500

***

This record from Alexandria describes a geometry-optimized TaCu2As structure. The functional is PBE-GGA.

## Properties
Total moment ... 0.0 μB/f.u.
Calculated total energy ... -6.024 eV/atom
Formation energy from the elements ... 57.9 kJ/mol of formula units

Cell: 2.882 2.882 7.354 Å, 90.00 90.00 90.00°
Fractional positions:
Ta: 0.000 0.000 0.000
Cu: 0.500 0.500 0.255
Cu: 0.500 0.500 0.745
As: 0.000 0.000 0.500

***

This record from Alexandria describes a geometry-optimized Cr3W3N structure. The functional is PBE-GGA.

## Properties
Total moment ... 0.0 μB/f.u.
Calculated total energy ... -10.929 eV/atom
Formation energy without anion corrections ... -0.064 eV per atom

Cell: 7.932 7.932 7.932 Å, 60.00 60.00 60.00°
Fractional positions:
Cr: 0.000 0.000 0.000
Cr: 0.000 0.000 0.500
Cr: 0.000 0.500 0.000
Cr: 0.114 0.795 0.795
Cr: 0.205 0.205 0.205
Cr: 0.205 0.205 0.886
Cr: 0.205 0.886 0.205
Cr: 0.500 0.000 0.000
Cr: 0.795 0.114 0.795
Cr: 0.795 0.795 0.114
Cr: 0.795 0.795 0.795
Cr: 0.886 0.205 0.205
W: 0.178 0.178 0.572
W: 0.178 0.572 0.178
W: 0.178 0.572 0.572
W: 0.428 0.428 0.822
W: 0.428 0.822 0.428
W: 0.428 0.822 0.822
W: 0.572 0.178 0.178
W: 0.572 0.178 0.572
W: 0.572 0.572 0.178
W: 0.822 0.428 0.428
W: 0.822 0.428 0.822
W: 0.822 0.822 0.428
N: 0.000 0.500 0.500
N: 0.500 0.000 0.500
N: 0.500 0.500 0.000
N: 0.500 0.500 0.500

***

This record from Alexandria describes a geometry-optimized In3CuC structure. The functional is PBE-GGA.

## Properties
Offset from the most stable computed form ... 388 meV per atom
Total moment ... 2.0 μB/f.u.
Calculated total energy ... -2.976 eV/atom
Formation energy from the elements ... 642.3 kJ/mol of formula units

Cell: 4.983 4.983 4.983 Å, 90.00 90.00 90.00°
Fractional positions:
In: 0.000 0.000 0.500
In: 0.000 0.500 0.000
In: 0.500 0.000 0.000
Cu: 0.000 0.000 0.000
C: 0.500 0.500 0.500

***

This record from Alexandria describes a geometry-optimized Sr3BeNi structure. The functional is PBE-GGA.

## Properties
Offset from the most stable computed form ... 0 meV per atom
Total moment ... 0.0 μB/f.u.
Calculated total energy ... -2.470 eV/atom
Formation energy from the elements ... 212.8 kJ/mol of formula units

Cell: 5.667 5.667 5.667 Å, 90.00 90.00 90.00°
Fractional positions:
Sr: 0.000 0.000 0.500
Sr: 0.000 0.500 0.000
Sr: 0.500 0.000 0.000
Be: 0.500 0.500 0.500
Ni: 0.000 0.000 0.000

***

This record from Alexandria describes a geometry-optimized GePbAu structure. The functional is PBE-GGA.

## Properties
Offset from the most stable computed form ... 16 meV per atom
Total moment ... 0.0 μB/f.u.
Calculated total energy ... -3.864 eV/atom
Formation energy from the elements ... 1.1 kJ/mol of formula units

Cell: 4.449 4.449 4.294 Å, 90.00 90.00 120.00°
Fractional positions:
Ge: 0.000 0.000 0.000
Pb: 0.333 0.667 0.501
Au: 0.667 0.333 0.004

***

This record from Alexandria describes a geometry-optimized CdIrOs2 structure. The functional is PBE-GGA.

## Properties
Total moment ... 0.0 μB/f.u.
Calculated total energy ... -7.699 eV/atom
Formation energy from the elements ... 139.0 kJ/mol of formula units

Cell: 9.497 9.497 9.497 Å, 16.78 16.78 16.78°
Fractional positions:
Cd: 0.000 0.000 0.000
Ir: 0.500 0.500 0.500
Os: 0.244 0.244 0.244
Os: 0.756 0.756 0.756

***

This record from Alexandria describes a geometry-optimized La2DyHgS5 structure. The functional is PBE-GGA.

## Properties
Total moment ... 0.0 μB/f.u.
Calculated total energy ... -5.606 eV/atom
Formation energy without anion corrections ... -1.674 eV per atom

Cell: 8.810 8.810 12.306 Å, 90.00 90.00 153.70°
Fractional positions:
La: 0.119 0.881 0.500
La: 0.134 0.866 0.121
La: 0.866 0.134 0.621
La: 0.881 0.119 0.000
Dy: 0.199 0.801 0.821
Dy: 0.801 0.199 0.321
Hg: 0.468 0.532 0.275
Hg: 0.532 0.468 0.775
S: 0.047 0.953 0.895
S: 0.290 0.710 0.476
S: 0.308 0.692 0.165
S: 0.356 0.644 0.816
S: 0.495 0.505 0.582
S: 0.505 0.495 0.082
S: 0.644 0.356 0.316
S: 0.692 0.308 0.665
S: 0.710 0.290 0.976
S: 0.953 0.047 0.395

***

This record from Alexandria describes a geometry-optimized MnCuSnTe3 structure. The functional is PBE-GGA.

## Properties
Total moment ... 4.1 μB/f.u.
Calculated total energy ... -4.590 eV/atom
Formation energy without anion corrections ... -0.141 eV per atom

Cell: 8.559 4.165 9.385 Å, 90.00 106.75 90.00°
Fractional positions:
Mn: 0.183 0.250 0.165
Mn: 0.817 0.750 0.835
Cu: 0.424 0.750 0.439
Cu: 0.576 0.250 0.561
Sn: 0.303 0.750 0.791
Sn: 0.697 0.250 0.209
Te: 0.056 0.250 0.860
Te: 0.250 0.250 0.469
Te: 0.401 0.750 0.138
Te: 0.599 0.250 0.862
Te: 0.750 0.750 0.531
Te: 0.944 0.750 0.140

***

This record from Alexandria describes a geometry-optimized Cd2SiMo structure. The functional is PBE-GGA.

## Properties
Total moment ... 0.0 μB/f.u.
Calculated total energy ... -4.240 eV/atom
Formation energy without anion corrections ... 0.281 eV per atom

Cell: 2.875 2.875 9.364 Å, 90.00 90.00 104.88°
Fractional positions:
Cd: 0.000 0.000 0.000
Cd: 0.500 0.500 0.284
Si: 0.500 0.500 0.725
Mo: 0.000 0.000 0.534

***

This record from Alexandria describes a geometry-optimized Sr8LiN4 structure. The functional is PBE-GGA.

## Properties
Offset from the most stable computed form ... 0 meV per atom
Total moment ... 0.0 μB/f.u.
Calculated total energy ... -4.187 eV/atom
Formation energy without anion corrections ... -0.443 eV per atom

Cell: 7.786 7.786 9.938 Å, 125.54 125.54 59.96°
Fractional positions:
Sr: 0.171 0.677 0.681
Sr: 0.173 0.173 0.687
Sr: 0.323 0.323 0.308
Sr: 0.323 0.829 0.319
Sr: 0.677 0.171 0.681
Sr: 0.677 0.677 0.692
Sr: 0.827 0.827 0.313
Sr: 0.829 0.323 0.319
Li: 0.500 0.500 0.000
N: 0.250 0.750 0.500
N: 0.252 0.252 0.505
N: 0.748 0.748 0.495
N: 0.750 0.250 0.500

***

This record from Alexandria describes a geometry-optimized Nd2SiBRh6 structure. The functional is PBE-GGA.

## Properties
Total moment ... 0.0 μB/f.u.
Calculated total energy ... -7.287 eV/atom
Formation energy without anion corrections ... -0.712 eV per atom

Cell: 6.196 8.767 6.196 Å, 90.00 90.00 90.00°
Fractional positions:
Nd: 0.250 0.000 0.250
Nd: 0.250 0.500 0.250
Nd: 0.750 0.000 0.750
Nd: 0.750 0.500 0.750
Si: 0.250 0.250 0.749
Si: 0.750 0.750 0.251
B: 0.250 0.750 0.751
B: 0.750 0.250 0.249
Rh: 0.011 0.750 0.989
Rh: 0.012 0.750 0.513
Rh: 0.250 0.512 0.751
Rh: 0.250 0.988 0.751
Rh: 0.488 0.750 0.513
Rh: 0.489 0.750 0.989
Rh: 0.511 0.250 0.011
Rh: 0.512 0.250 0.487
Rh: 0.750 0.012 0.249
Rh: 0.750 0.488 0.249
Rh: 0.988 0.250 0.487
Rh: 0.989 0.250 0.011